(1)
Computed, not measured: La3Pb at its PBEsol-relaxed geometry at the meta-GGA SCAN level of DFT.

Formation enthalpy at 0 K ... -0.549 eV per atom
Symmetry ... Pm-3m
Total magnetization ... 0.6 μB per cell
VASP energy ... -51.82 eV per atom
Volume ... 123 Å³/f.u.

Geometry as POSCAR:
```
La3Pb
1.0
4.9744 0.0000 0.0000
0.0000 4.9744 0.0000
0.0000 0.0000 4.9744
Pb La
1 3
direct
0.0000 0.0000 0.0000
0.0000 0.5000 0.5000
0.5000 0.5000 0.0000
0.5000 0.0000 0.5000
```

(2)
Computed, not measured: La2Pb at its PBEsol-relaxed geometry at the meta-GGA SCAN level of DFT.

Formation enthalpy at 0 K ... -0.723 eV per atom
Symmetry ... P-62m
Total magnetization ... 1.9 μB per cell
VASP energy ... -54.72 eV per atom
Volume ... 98 Å³/f.u.

Geometry as POSCAR:
```
La2Pb
1.0
-1.0362 -2.4508 3.5014
-2.6305 -6.4789 -5.3135
8.3470 0.3414 2.7093
La Pb
6 3
direct
0.0000 0.0000 0.2719
0.0000 0.2719 0.0000
0.5000 0.4088 0.4088
0.5000 0.5912 0.0000
0.0000 0.7281 0.7281
0.5000 0.0000 0.5912
0.5000 0.0000 0.0000
0.0000 0.3333 0.6667
0.0000 0.6667 0.3333
```

(3)
Computed, not measured: La2Pb at its PBEsol-relaxed geometry at the meta-GGA SCAN level of DFT.

Formation enthalpy at 0 K ... -0.686 eV per atom
Symmetry ... Cmcm
Total magnetization ... 0.0 μB per cell
VASP energy ... -54.68 eV per atom
Volume ... 93 Å³/f.u.

Geometry as POSCAR:
```
La2Pb
1.0
-0.8607 -1.2120 4.2150
-2.3747 -4.0338 -1.6448
7.6429 -3.7319 -1.8821
La Pb
4 2
direct
0.7536 0.7500 0.5071
0.5675 0.2500 0.1351
0.2464 0.2500 0.4929
0.4325 0.7500 0.8649
0.8981 0.2500 0.7963
0.1019 0.7500 0.2037
```